(1)
Below is crystalline PmNdLuPu at its relaxed geometry, with properties calculated at the PBE level.

* Fermi-level density of states: 13.06 states/eV/f.u.
* E_form: 80 kJ/mol of formula units
* size of the total moment: 7.6 μB per formula unit
* space-group type: F-43m

```
PmNdLuPu
1.0
5.646 0.000 0.000
2.823 4.889 0.000
2.823 1.630 4.610
Lu Nd Pu Pm
1 1 1 1
direct
0.000 0.000 0.000
0.250 0.250 0.250
0.500 0.500 0.500
0.750 0.750 0.750
```

(2)
Below is crystalline NaPrCdAu at its relaxed geometry, with properties calculated at the PBE level.

* Fermi-level density of states: 2.87 states/eV/f.u.
* E_form: -142 kJ/mol of formula units
* size of the total moment: 0.0 μB per formula unit
* space-group type: F-43m

```
NaPrCdAu
1.0
5.224 0.000 0.000
2.612 4.524 0.000
2.612 1.508 4.265
Na Cd Au Pr
1 1 1 1
direct
0.500 0.500 0.500
0.250 0.250 0.250
0.750 0.750 0.750
0.000 0.000 0.000
```

(3)
Below is crystalline CaZnBr2 at its relaxed geometry, with properties calculated at the PBE level.

* ΔE to the lowest computed polymorph: 0.168 eV/atom
* raw formation energy: -4.4 eV per formula unit
* Fermi-level density of states: 0.00 states/eV/f.u.
* size of the total moment: 0.0 μB per formula unit
* space-group type: Immm

```
CaZnBr2
1.0
6.458 0.022 0.002
1.556 6.267 -0.002
-2.877 -4.584 3.523
Zn Ca Br
1 1 2
direct
0.250 0.750 0.500
0.750 0.250 0.500
0.560 0.560 0.000
0.940 0.940 0.000
```